## SbTeAu2 (GGA-PBE)

Data for a relaxed structure of SbTeAu2.

Output
The value obtained for the formation energy (no corrections) is 0.195 eV per atom. The space-group type is P4/mmm. For the calculated volume, the calculation gives 93.68 Å³ per cell. As for the total magnetic moment: 0.00 μB per formula unit. The total DFT energy (no corrections) is -3.26 eV per atom. The polymorph energy (0 for the lowest one) comes out at 233 meV per atom.

a b c (Å): 3.9901 3.9901 5.8842
angles (deg): 90.00 90.00 90.00
Last column: nearest neighbours and their distance in Å.
Fractional positions:
Au: 0.0000 0.0000 0.0074  2 Au 2.86-3.03, 4 Sb 3.16
Au: 0.0000 0.0000 0.4926  2 Au 2.86-3.03, 4 Sb 3.16
Sb: 0.5000 0.5000 0.2500  2 Te 2.94, 8 Au 3.16
Te: 0.5000 0.5000 0.7500  2 Sb 2.94, 8 Au 3.20

---

## Er3SnSe6 (GGA-PBE)

Data for a relaxed structure of Er3SnSe6.

Output
The value obtained for the formation energy (no corrections) is -1.425 eV per atom. The space-group type is Cmc2_1. For the calculated volume, the calculation gives 533.59 Å³ per cell. As for the total magnetic moment: 0.00 μB per formula unit. The total DFT energy (no corrections) is -5.28 eV per atom.

a b c (Å): 6.9688 8.8587 8.8587
angles (deg): 102.66 90.00 90.00
Last column: nearest neighbours and their distance in Å.
Fractional positions:
Er: 0.4857 0.9153 0.7122  6 Se 2.83-3.02
Er: 0.9857 0.7122 0.9153  6 Se 2.83-3.02
Er: 0.3783 0.4064 0.5936  7 Se 2.89-2.96
Er: 0.8783 0.5936 0.4064  7 Se 2.89-2.96
Er: 0.9857 0.0847 0.2878  6 Se 2.83-3.02
Er: 0.4857 0.2878 0.0847  6 Se 2.83-3.02
Sn: 0.9973 0.1740 0.8260  4 Se 2.68-2.91
Sn: 0.4973 0.8260 0.1740  4 Se 2.68-2.91
Se: 0.1772 0.6996 0.6316  4 Er 2.83-2.91
Se: 0.6772 0.6316 0.6996  4 Er 2.83-2.91
Se: 0.2038 0.4354 0.9019  1 Sn 2.68, 2 Er 2.86-2.95
Se: 0.7038 0.9019 0.4354  1 Sn 2.68, 2 Er 2.86-2.95
Se: 0.2532 0.0079 0.9921  2 Sn 2.91-3.04, 4 Er 2.93-3.17
Se: 0.6231 0.2314 0.7686  1 Sn 2.73, 3 Er 2.90-2.96
Se: 0.1231 0.7686 0.2314  1 Sn 2.73, 3 Er 2.90-2.96
Se: 0.7532 0.9921 0.0079  2 Sn 2.91-3.04, 4 Er 2.93-3.17
Se: 0.2038 0.0981 0.5646  1 Sn 2.68, 2 Er 2.86-2.95
Se: 0.7038 0.5646 0.0981  1 Sn 2.68, 2 Er 2.86-2.95
Se: 0.1772 0.3684 0.3004  4 Er 2.83-2.91
Se: 0.6772 0.3004 0.3684  4 Er 2.83-2.91

---

## Ac2DyMgTe5 (GGA-PBE)

Data for a relaxed structure of Ac2DyMgTe5.

Output
The value obtained for the formation energy (no corrections) is -1.363 eV per atom. The space-group type is Cmc2_1. For the calculated volume, the calculation gives 605.54 Å³ per cell. As for the total magnetic moment: 0.00 μB per formula unit. The total DFT energy (no corrections) is -4.71 eV per atom.

a b c (Å): 4.5097 10.0261 13.7446
angles (deg): 90.00 90.00 103.00
Last column: nearest neighbours and their distance in Å.
Fractional positions:
Ac: 0.8673 0.7346 0.8093  8 Te 3.37-3.74
Ac: 0.1146 0.2292 0.6853  8 Te 3.38-3.58
Ac: 0.1327 0.2654 0.3093  8 Te 3.37-3.74
Ac: 0.8854 0.7708 0.1853  8 Te 3.38-3.58
Dy: 0.7988 0.5976 0.5139  6 Te 3.08-3.14
Dy: 0.2012 0.4024 0.0139  6 Te 3.08-3.14
Mg: 0.5560 0.1120 0.9522  4 Te 2.72-2.92
Mg: 0.4440 0.8880 0.4522  4 Te 2.72-2.92
Te: 0.3587 0.7174 0.0010  1 Dy 3.08, 2 Ac 3.43
Te: 0.6893 0.3785 0.8554  1 Mg 2.92, 2 Dy 3.14
Te: 0.4958 0.9915 0.7742  1 Mg 2.72
Te: 0.2869 0.5738 0.6672  2 Dy 3.10, 3 Ac 3.37-3.38
Te: 0.9521 0.9042 0.5654  2 Mg 2.74
Te: 0.6413 0.2826 0.5010  1 Dy 3.08, 2 Ac 3.43
Te: 0.3107 0.6215 0.3554  1 Mg 2.92, 2 Dy 3.14
Te: 0.5042 0.0085 0.2742  1 Mg 2.72
Te: 0.7131 0.4262 0.1672  2 Dy 3.10, 3 Ac 3.37-3.38
Te: 0.0479 0.0958 0.0654  2 Mg 2.74

---

## LaGa2Cu (GGA-PBE)

Data for a relaxed structure of LaGa2Cu.

Output
The space-group type is Immm. For the calculated volume, the calculation gives 331.20 Å³ per cell. As for the total magnetic moment: 0.00 μB per formula unit. As for the formation energy: -0.504 eV/atom. The total DFT energy (no corrections) is -4.27 eV per atom.

a b c (Å): 4.4424 8.9911 9.6904
angles (deg): 117.64 103.25 90.00
Last column: nearest neighbours and their distance in Å.
Fractional positions:
La: 0.7091 0.7091 0.4183  9 Ga 3.13-3.42, 6 Cu 3.26-3.32
La: 0.5000 0.2606 0.0000  10 Ga 3.23-3.52, 4 Cu 3.31
La: 0.5000 0.7394 0.0000  10 Ga 3.23-3.52, 4 Cu 3.31
La: 0.2909 0.2909 0.5817  9 Ga 3.13-3.42, 6 Cu 3.26-3.32
Ga: 0.9260 0.4260 0.8520  1 Ga 2.45, 2 Cu 2.49
Ga: 0.6850 0.3339 0.3700  2 Cu 2.51, 1 Ga 2.68
Ga: 0.6850 0.0361 0.3700  2 Cu 2.51, 1 Ga 2.68
Ga: 0.3150 0.6661 0.6300  2 Cu 2.51, 1 Ga 2.68
Ga: 0.0844 0.0844 0.1688  2 Cu 2.56, 1 Ga 2.80
Ga: 0.0740 0.5740 0.1480  1 Ga 2.45, 2 Cu 2.49
Ga: 0.9156 0.9156 0.8312  2 Cu 2.56, 1 Ga 2.80
Ga: 0.3150 0.9639 0.6300  2 Cu 2.51, 1 Ga 2.68
Cu: 0.8520 0.5927 0.7040  4 Ga 2.49-2.56
Cu: 0.1480 0.4073 0.2960  4 Ga 2.49-2.56
Cu: 0.1480 0.8887 0.2960  4 Ga 2.49-2.56
Cu: 0.8520 0.1113 0.7040  4 Ga 2.49-2.56

---

## TlSbI2 (GGA-PBE)

Data for a relaxed structure of TlSbI2.

Output
The value obtained for the formation energy (no corrections) is 0.074 eV per atom. The space-group type is Fm-3m. For the calculated volume, the calculation gives 137.57 Å³ per cell. As for the total magnetic moment: 0.32 μB per formula unit. The total DFT energy (no corrections) is -2.32 eV per atom.

a b c (Å): 5.7944 5.7944 5.7944
angles (deg): 60.00 60.00 60.00
Last column: nearest neighbours and their distance in Å.
Fractional positions:
I: 0.2500 0.2500 0.2500  4 Tl 3.55, 4 Sb 3.55
I: 0.7500 0.7500 0.7500  4 Sb 3.55, 4 Tl 3.55
Sb: 0.0000 0.0000 0.0000  8 I 3.55
Tl: 0.5000 0.5000 0.5000  8 I 3.55

---

## HgPb2Br (GGA-PBE)

Data for a relaxed structure of HgPb2Br.

Output
The value obtained for the formation energy (no corrections) is -0.125 eV per atom. The space-group type is R3m. For the calculated volume, the calculation gives 123.00 Å³ per cell. As for the total magnetic moment: 0.00 μB per formula unit. The total DFT energy (no corrections) is -2.47 eV per atom. The polymorph energy (0 for the lowest one) comes out at 78 meV per atom.

a b c (Å): 10.3512 10.3512 10.3512
angles (deg): 20.85 20.85 20.85
Last column: nearest neighbours and their distance in Å.
Fractional positions:
Pb: 0.0042 0.0042 0.0042  3 Hg 3.33, 3 Pb 3.61
Pb: 0.2424 0.2424 0.2424  3 Br 3.18
Hg: 0.7543 0.7543 0.7543  3 Br 3.21, 3 Pb 3.33
Br: 0.4990 0.4990 0.4990  3 Pb 3.18, 3 Hg 3.21

---

## SrSb2 (GGA-PBE)

Data for a relaxed structure of SrSb2.

Output
The value obtained for the formation energy (no corrections) is -0.655 eV per atom. The space-group type is P-1. For the calculated volume, the calculation gives 203.53 Å³ per cell. As for the total magnetic moment: 0.00 μB per formula unit. The total DFT energy (no corrections) is -3.96 eV per atom.

a b c (Å): 6.2964 6.2747 6.6694
angles (deg): 76.86 62.55 60.51
Last column: nearest neighbours and their distance in Å.
Fractional positions:
Sb: 0.0032 0.7516 0.4929  3 Sb 2.89-3.16
Sb: 0.9968 0.2484 0.5071  3 Sb 2.89-3.16
Sb: 0.2337 0.7622 0.0050  2 Sb 2.89-3.00
Sb: 0.7663 0.2378 0.9950  2 Sb 2.89-3.00
Sr: 0.6236 0.7470 0.2496  8 Sb 3.46-3.52
Sr: 0.3764 0.2530 0.7504  8 Sb 3.46-3.52

---

## NaMgAl2 (GGA-PBE)

Data for a relaxed structure of NaMgAl2.

Output
The space-group type is P4/mmm. For the calculated volume, the calculation gives 86.72 Å³ per cell. As for the total magnetic moment: 0.00 μB per formula unit. As for the formation energy: 0.133 eV/atom. The total DFT energy (no corrections) is -2.47 eV per atom.

a b c (Å): 3.3447 3.3447 7.7517
angles (deg): 90.00 90.00 90.00
Last column: nearest neighbours and their distance in Å.
Fractional positions:
Na: 0.5000 0.5000 0.5000  8 Al 3.24, 4 Na 3.34
Mg: 0.5000 0.5000 0.0000  8 Al 2.89
Al: 0.0000 0.0000 0.7857  4 Mg 2.89
Al: 0.0000 0.0000 0.2143  4 Mg 2.89

---

## BaTbMg2 (GGA-PBE)

Data for a relaxed structure of BaTbMg2.

Output
The space-group type is P4/mmm. For the calculated volume, the calculation gives 134.32 Å³ per cell. As for the total magnetic moment: 0.04 μB per formula unit. As for the formation energy: -0.030 eV/atom. The total DFT energy (no corrections) is -2.47 eV per atom. The polymorph energy (0 for the lowest one) comes out at 0 meV per atom.

a b c (Å): 4.0022 4.0022 8.3858
angles (deg): 90.00 90.00 90.00
Last column: nearest neighbours and their distance in Å.
Fractional positions:
Mg: 0.0000 0.0000 0.7957  4 Tb 3.31, 1 Mg 3.43
Mg: 0.0000 0.0000 0.2043  4 Tb 3.31, 1 Mg 3.43
Tb: 0.5000 0.5000 0.0000  8 Mg 3.31
Ba: 0.5000 0.5000 0.5000  8 Mg 3.76, 4 Ba 4.00, 2 Tb 4.19

---

## Gd2HBr (GGA-PBE)

Data for a relaxed structure of Gd2HBr.

Output
The space-group type is R-3m. For the calculated volume, the calculation gives 85.47 Å³ per cell. As for the total magnetic moment: 14.11 μB per formula unit. The total DFT energy (no corrections) is -9.03 eV per atom.

a b c (Å): 3.6632 3.6632 7.6525
angles (deg): 76.15 76.15 60.00
Last column: nearest neighbours and their distance in Å.
Fractional positions:
H: 0.0000 0.0000 0.0000  6 Gd 2.51
Gd: 0.7279 0.7279 0.8163  3 H 2.51
Gd: 0.2721 0.2721 0.1837  3 H 2.51
Br: 0.5000 0.5000 0.5000  6 Gd 3.14

---

## GdErTmSn (GGA-PBE)

Data for a relaxed structure of GdErTmSn.

Output
The space-group type is F-43m. For the calculated volume, the calculation gives 110.07 Å³ per cell. As for the total magnetic moment: 7.95 μB per formula unit. As for the formation energy: -0.247 eV/atom. The total DFT energy (no corrections) is -7.03 eV per atom.

a b c (Å): 5.3794 5.3794 5.3794
angles (deg): 60.00 60.00 60.00
Last column: nearest neighbours and their distance in Å.
Fractional positions:
Gd: 0.2500 0.2500 0.2500  4 Sn 3.29, 4 Tm 3.29
Tm: 0.5000 0.5000 0.5000  4 Er 3.29, 4 Gd 3.29
Sn: 0.0000 0.0000 0.0000  4 Er 3.29, 4 Gd 3.29
Er: 0.7500 0.7500 0.7500  4 Tm 3.29, 4 Sn 3.29

---

## Pr3Mg5Rh2 (GGA-PBE)

Data for a relaxed structure of Pr3Mg5Rh2.

Output
The space-group type is Ibam. For the calculated volume, the calculation gives 506.40 Å³ per cell. As for the total magnetic moment: 0.00 μB per formula unit. As for the formation energy: -0.253 eV/atom. The total DFT energy (no corrections) is -3.95 eV per atom.

a b c (Å): 6.4013 9.4642 9.4642
angles (deg): 79.64 70.23 70.23
Last column: nearest neighbours and their distance in Å.
Fractional positions:
Pr: 0.2500 0.0000 0.0000  4 Rh 2.98, 2 Pr 3.20
Pr: 0.7500 0.0000 0.0000  4 Rh 2.98, 2 Pr 3.20
Pr: 0.3341 0.4116 0.9201  1 Rh 2.83
Pr: 0.6659 0.5884 0.0799  1 Rh 2.83
Pr: 0.8341 0.9201 0.4116  1 Rh 2.83
Pr: 0.1659 0.0799 0.5884  1 Rh 2.83
Mg: 0.2500 0.5000 0.5000  8 Mg 2.90-3.20
Mg: 0.7500 0.5000 0.5000  8 Mg 2.90-3.20
Mg: 0.5172 0.7328 0.7328  2 Rh 2.67
Mg: 0.9828 0.2672 0.2672  2 Rh 2.67
Mg: 0.4828 0.2672 0.2672  2 Rh 2.67
Mg: 0.0172 0.7328 0.7328  2 Rh 2.67
Mg: 0.0797 0.6001 0.2406  1 Rh 2.54
Mg: 0.9203 0.3999 0.7594  1 Rh 2.54
Mg: 0.5797 0.2406 0.6001  1 Rh 2.54
Mg: 0.4203 0.7594 0.3999  1 Rh 2.54
Rh: 0.1529 0.7206 0.9735  3 Mg 2.54-2.67, 1 Pr 2.83
Rh: 0.8471 0.2794 0.0265  3 Mg 2.54-2.67, 1 Pr 2.83
Rh: 0.6529 0.9735 0.7206  3 Mg 2.54-2.67, 1 Pr 2.83
Rh: 0.3471 0.0265 0.2794  3 Mg 2.54-2.67, 1 Pr 2.83

---

## Pr4DyN4 (GGA-PBE)

Data for a relaxed structure of Pr4DyN4.

Output
The value obtained for the formation energy (no corrections) is -1.222 eV per atom. The space-group type is C2/m. For the calculated volume, the calculation gives 173.44 Å³ per cell. As for the total magnetic moment: 0.64 μB per formula unit. The total DFT energy (no corrections) is -7.56 eV per atom.

a b c (Å): 3.6371 6.3488 8.1906
angles (deg): 76.02 77.17 73.36
Last column: nearest neighbours and their distance in Å.
Fractional positions:
Pr: 0.7058 0.4011 0.1872  5 N 2.44-2.64
Pr: 0.8953 0.8286 0.3808  3 N 2.43-2.55
Pr: 0.2942 0.5989 0.8128  5 N 2.44-2.64
Pr: 0.1047 0.1714 0.6192  3 N 2.43-2.55
Dy: 0.5000 0.0000 0.0000  6 N 2.51-2.53
N: 0.3080 0.0902 0.2939  4 Pr 2.43-2.64, 1 Dy 2.51
N: 0.6920 0.9098 0.7061  4 Pr 2.43-2.64, 1 Dy 2.51
N: 0.9016 0.2870 0.9098  4 Pr 2.44-2.64, 2 Dy 2.53
N: 0.0984 0.7130 0.0902  4 Pr 2.44-2.64, 2 Dy 2.53